A plane-wave DFT calculation with GGA+U was carried out for a relaxed Cd3FeO4 crystal. Values from VASP.

```
&SYSTEM
  ibrav = 0, nat = 16, ntyp = 3
/
ATOMIC_SPECIES
Cd 112.41 Cd.upf
O 16.00 O.upf
Fe 55.84 Fe.upf
ATOMIC_POSITIONS angstrom
Cd -1.7906 -2.0867 -3.5653
Cd -3.3886 -2.0964 -0.3981
Cd -3.1038 -5.6467 -0.2455
O -3.8941 -0.2754 0.8597
O -3.0646 -0.4391 -4.4970
O -4.9210 -2.4889 -2.0375
O -1.0183 -5.7365 -1.1862
O -4.6679 -5.6444 -1.9018
O -2.9454 -4.0033 -3.9484
Fe -0.4833 -0.0781 -0.9140
O -1.3376 -1.7565 -1.3573
Cd -0.2118 -3.6461 -0.7388
Cd -1.5030 -5.6720 -3.4112
O -3.1893 -3.8059 1.0997
Cd -4.9677 -0.5371 -3.2245
Fe -4.6552 -4.1028 -3.0709
CELL_PARAMETERS angstrom
-5.1015 -0.2937 2.6878
-2.8642 -0.4656 -5.4873
0.5724 -7.1356 0.3067
```

Summary:
* calculated total energy: -4.599 eV per atom
* SG: Pmn2_1, No. 31
* DOS at the Fermi energy: 0.15 states/eV/atom